! FeIrPbO6 GGA+U relaxed; values from VASP
&SYSTEM
  ibrav = 0, nat = 18, ntyp = 4
/
ATOMIC_SPECIES
O 16.00 O.upf
Ir 192.22 Ir.upf
Pb 207.20 Pb.upf
Fe 55.84 Fe.upf
CELL_PARAMETERS angstrom
4.758 0.000 0.000
0.000 4.758 0.000
0.000 0.000 9.752
ATOMIC_POSITIONS crystal
O 0.711 0.711 0.345
O 0.789 0.211 0.845
O 0.197 0.803 0.484
O 0.803 0.197 0.484
O 0.697 0.697 0.984
O 0.324 0.324 0.670
O 0.176 0.824 0.170
O 0.303 0.303 0.984
O 0.289 0.289 0.345
O 0.824 0.176 0.170
O 0.211 0.789 0.845
O 0.676 0.676 0.670
Ir 0.000 0.000 0.335
Ir 0.500 0.500 0.835
Pb 0.000 0.000 0.667
Pb 0.500 0.500 0.167
Fe 0.500 0.500 0.499
Fe 0.000 0.000 0.999
! space-group type	P4_2nm (102)
! electronic total energy	-6.265	eV per atom
! mass density	8.3	g/cm³